No. 1
Below is a relaxed PbW2 crystal, with properties calculated at the PBE level.

Properties
- electronic total energy (eV/atom) = -8.66
- ΔE to the lowest computed polymorph (meV/atom) = 639
- ΔE_f (eV/atom) = 1.21

abc: 3.702 3.702 4.757
angles: 90.00 90.00 90.00
Space group P4/mmm (No. 123)
Unique sites:
Pb 0.000 0.000 0.000 (multiplicity 1)
W 0.000 0.500 0.500 (multiplicity 2)

No. 2
Below is a relaxed Pb4W5 crystal, with properties calculated at the PBE level.

Properties
- electronic total energy (eV/atom) = -8.00
- ΔE to the lowest computed polymorph (meV/atom) = 0
- ΔE_f (eV/atom) = 0.84

abc: 9.655 9.655 4.289
angles: 90.00 90.00 90.00
Space group I4/mmm (No. 139)
Unique sites:
Pb 0.000 0.311 0.000 (multiplicity 8)
W 0.000 0.000 0.000 (multiplicity 2)
W 0.133 0.133 0.500 (multiplicity 8)

No. 3
Below is a relaxed PbW2 crystal, with properties calculated at the PBE level.

Properties
- electronic total energy (eV/atom) = -9.21
- ΔE to the lowest computed polymorph (meV/atom) = 91
- ΔE_f (eV/atom) = 0.66

abc: 10.089 3.204 8.360
angles: 90.00 112.02 90.00
Space group C2/m (No. 12)
Unique sites:
Pb 0.166 0.000 0.122 (multiplicity 4)
W 0.003 0.500 0.316 (multiplicity 4)
W 0.160 0.000 0.549 (multiplicity 4)

No. 4
Below is a relaxed PbW5 crystal, with properties calculated at the PBE level.

Properties
- electronic total energy (eV/atom) = -10.96
- ΔE to the lowest computed polymorph (meV/atom) = 0
- ΔE_f (eV/atom) = 0.46

abc: 3.171 3.171 10.646
angles: 90.00 90.00 90.00
Space group P4/mmm (No. 123)
Unique sites:
Pb 0.000 0.000 0.000 (multiplicity 1)
W 0.000 0.000 0.350 (multiplicity 2)
W 0.500 0.500 0.207 (multiplicity 2)
W 0.500 0.500 0.500 (multiplicity 1)

No. 5
Below is a relaxed PbW2 crystal, with properties calculated at the PBE level.

Properties
- electronic total energy (eV/atom) = -8.84
- ΔE to the lowest computed polymorph (meV/atom) = 462
- ΔE_f (eV/atom) = 1.04

abc: 2.882 8.316 4.655
angles: 90.00 90.00 90.00
Space group Pnnm (No. 58)
Unique sites:
Pb 0.000 0.000 0.000 (multiplicity 2)
W 0.129 0.338 0.000 (multiplicity 4)

No. 6
Below is a relaxed PbW5 crystal, with properties calculated at the PBE level.

Properties
- electronic total energy (eV/atom) = -10.88
- ΔE to the lowest computed polymorph (meV/atom) = 77
- ΔE_f (eV/atom) = 0.53

abc: 3.275 13.890 4.547
angles: 90.00 90.00 90.00
Space group Cmmm (No. 65)
Unique sites:
Pb 0.000 0.000 0.000 (multiplicity 2)
W 0.000 0.166 0.500 (multiplicity 4)
W 0.000 0.323 0.000 (multiplicity 4)
W 0.000 0.500 0.500 (multiplicity 2)

No. 7
Below is a relaxed PbW2 crystal, with properties calculated at the PBE level.

Properties
- electronic total energy (eV/atom) = -9.04
- ΔE to the lowest computed polymorph (meV/atom) = 257
- ΔE_f (eV/atom) = 0.83

abc: 3.212 3.212 11.497
angles: 90.00 90.00 90.00
Space group I4/mmm (No. 139)
Unique sites:
Pb 0.000 0.000 0.000 (multiplicity 2)
W 0.000 0.000 0.309 (multiplicity 4)

No. 8
Below is a relaxed Pb4W3 crystal, with properties calculated at the PBE level.

Properties
- electronic total energy (eV/atom) = -6.79
- ΔE_f (eV/atom) = 0.88

abc: 5.4618 5.4618 6.2871
angles: 90.00 90.00 120.00
Space group P6/mmm (No. 191)
Unique sites:
Pb 0.0000 0.0000 0.2429 (multiplicity 2)
Pb 0.3333 0.6667 0.5000 (multiplicity 2)
W 0.0000 0.5000 0.0000 (multiplicity 3)

- Look up the electronic total energy of the first one.
  -8.66 eV/atom

- Which value of ΔE_f does entry 7 give?
  0.83 eV/atom